1.
A plane-wave DFT calculation with PBE was carried out for an optimized crystal structure of Pu2UCd.

As for the volume: 23.54 A^3/atom. For the formation enthalpy at 0 K, the calculation gives 0.156 eV per atom. Its theoretical density is 14.8 Mg/m³. For the energy above the most stable polymorph in this dataset, the calculation gives 0 meV per atom. As for the symmetry: P4/mmm. The density of states at the Fermi level is 2.29 states/eV per atom.

Unit cell a=3.2537 b=3.2537 c=8.8960 alpha=90.00 beta=90.00 gamma=90.00
With the nearest neighbours (Å) after each atom.
Element x y z (fractional)
Pu 0.0000 0.0000 0.2210  4 U 3.03, 4 Pu 3.25, 4 Cd 3.38
Pu 0.0000 0.0000 0.7790  4 U 3.03, 4 Pu 3.25, 4 Cd 3.38
U 0.5000 0.5000 0.0000  8 Pu 3.03, 4 U 3.25
Cd 0.5000 0.5000 0.5000  4 Cd 3.25, 8 Pu 3.38


2.
A plane-wave DFT calculation with PBE was carried out for an optimized crystal structure of RbAl3I.

As for the volume: 43.94 A^3/atom. Its theoretical density is 2.2 Mg/m³. For the energy above the most stable polymorph in this dataset, the calculation gives 0 meV per atom. The calculation puts the formation energy (no corrections) at 0.7391 eV/atom. As for the symmetry: Pm-3m. The density of states at the Fermi level is 0.60 states/eV per atom.

Unit cell a=6.0343 b=6.0343 c=6.0343 alpha=90.00 beta=90.00 gamma=90.00
With the nearest neighbours (Å) after each atom.
Element x y z (fractional)
Rb 0.0000 0.0000 0.0000  12 Al 4.27
Al 0.0000 0.5000 0.5000  2 I 3.02
Al 0.5000 0.0000 0.5000  2 I 3.02
Al 0.5000 0.5000 0.0000  2 I 3.02
I 0.5000 0.5000 0.5000  6 Al 3.02